[1]
## CeErIn6 (PBE-GGA)

Data for an optimized crystal structure of CeErIn6.

## Properties
**VASP energy**: -29.652 eV for the cell shown
**Magnetic moment**: 0.83 μB per cell
**N(E_F)**: 8.434 states/eV/cell
**Energy above the most stable polymorph in this dataset**: 60.7 meV per atom
**Mass density**: 8.11 Mg/m³
**E_form**: -0.34 eV per atom

Cell: 6.6760 6.6760 5.2834 Å, 90.00 90.00 120.00°
Closest atoms and distances in Å follow each position.
Fractional positions:
1 Ce 0.0000 0.0000 0.0000  12 In 3.32-3.34
2 Er 0.6667 0.3333 0.5000  12 In 3.30-3.34
3 In 0.0080 0.5040 0.0000  8 In 3.23-3.42, 2 Er 3.30, 2 Ce 3.34
4 In 0.1743 0.3487 0.5000  8 In 3.18-3.49, 2 Ce 3.32, 2 Er 3.34
5 In 0.1743 0.8257 0.5000  8 In 3.18-3.49, 2 Ce 3.32, 2 Er 3.34
6 In 0.4960 0.5040 0.0000  8 In 3.23-3.42, 2 Er 3.30, 2 Ce 3.34
7 In 0.4960 0.9920 0.0000  8 In 3.23-3.42, 2 Er 3.30, 2 Ce 3.34
8 In 0.6513 0.8257 0.5000  8 In 3.18-3.49, 2 Ce 3.32, 2 Er 3.34



[2]
## Pm4Dy4Ho3 (PBE-GGA)

Data for an optimized crystal structure of Pm4Dy4Ho3.

## Properties
**VASP energy**: -50.476 eV for the cell shown
**Magnetic moment**: 0.00 μB per cell
**N(E_F)**: 18.654 states/eV/cell
**Energy above the most stable polymorph in this dataset**: 0.0 meV per atom
**Mass density**: 8.07 Mg/m³
**E_form**: 0.06 eV per atom

Cell: 3.5258 5.6517 18.1228 Å, 98.96 95.57 90.01°
Closest atoms and distances in Å follow each position.
Fractional positions:
1 Pm 0.0902 0.0905 0.1805  3 Dy 3.21-3.25, 2 Pm 3.53
2 Pm 0.2326 0.7324 0.4646  4 Dy 3.38-3.58, 6 Pm 3.53-3.56
3 Pm 0.7674 0.2676 0.5354  4 Dy 3.38-3.58, 6 Pm 3.53-3.56
4 Pm 0.9098 0.9095 0.8195  3 Dy 3.21-3.25, 2 Pm 3.53
5 Dy 0.0451 0.5457 0.0909  3 Dy 3.24-3.53, 2 Pm 3.25
6 Dy 0.1799 0.1803 0.3605  5 Pm 3.21-3.58, 2 Dy 3.53
7 Dy 0.8201 0.8197 0.6395  5 Pm 3.21-3.58, 2 Dy 3.53
8 Dy 0.9549 0.4543 0.9091  3 Dy 3.24-3.53, 2 Pm 3.25
9 Ho 0.3647 0.3642 0.7287  2 Ho 3.53, 6 Dy 3.66-3.69, 6 Pm 3.70-3.87
10 Ho 0.5000 0.0000 0.0000  2 Ho 3.53, 4 Pm 3.67, 8 Dy 3.70-3.71
11 Ho 0.6353 0.6358 0.2713  2 Ho 3.53, 6 Dy 3.66-3.69, 6 Pm 3.70-3.87